No. 1
PdRu3S: optimized geometry, PBE-GGA.

Properties
crystal system	cubic
density of states at the Fermi level	6.57	states/eV per cell
space group	No. 221
distance to the lowest polymorph of the same formula	1.5919	eV per atom
energy relative to the elements, uncorrected	2154.6	meV/atom

```
PdRu3S
1.0
4.799 0.000 0.000
0.000 4.799 0.000
0.000 0.000 4.799
Ru S Pd
3 1 1
Direct
0.000 0.500 0.000
0.000 0.000 0.500
0.500 0.000 0.000
0.500 0.500 0.500
0.000 0.000 0.000
```


No. 2
Pd3RuS: optimized geometry, PBE-GGA.

Properties
crystal system	cubic
density of states at the Fermi level	8.34	states/eV per cell
space group	No. 221
distance to the lowest polymorph of the same formula	0.8955	eV per atom
energy relative to the elements, uncorrected	1384.4	meV/atom

```
Pd3RuS
1.0
4.763 0.000 0.000
0.000 4.763 0.000
0.000 0.000 4.763
Ru S Pd
1 1 3
Direct
0.000 0.000 0.000
0.500 0.500 0.500
0.000 0.500 0.000
0.000 0.000 0.500
0.500 0.000 0.000
```


No. 3
PdRu3S: optimized geometry, PBE-GGA.

Properties
crystal system	cubic
density of states at the Fermi level	6.40	states/eV per cell
space group	No. 221
distance to the lowest polymorph of the same formula	0.0000	eV per atom
energy relative to the elements, uncorrected	562.7	meV/atom

```
PdRu3S
1.0
4.314 0.000 0.000
0.000 4.314 0.000
0.000 0.000 4.314
Ru S Pd
3 1 1
Direct
0.000 0.500 0.000
0.000 0.000 0.500
0.500 0.000 0.000
0.000 0.000 0.000
0.500 0.500 0.500
```


Copy entry 3 word for word.
PdRu3S: optimized geometry, PBE-GGA.

Properties
crystal system	cubic
density of states at the Fermi level	6.40	states/eV per cell
space group	No. 221
distance to the lowest polymorph of the same formula	0.0000	eV per atom
energy relative to the elements, uncorrected	562.7	meV/atom

```
PdRu3S
1.0
4.314 0.000 0.000
0.000 4.314 0.000
0.000 0.000 4.314
Ru S Pd
3 1 1
Direct
0.000 0.500 0.000
0.000 0.000 0.500
0.500 0.000 0.000
0.000 0.000 0.000
0.500 0.500 0.500
```


Question: Which of these has the lowest density of states at the Fermi level?
Answer: number 3